Entry 1:
Compound: Zn2Cd8Pb
Source: Alexandria
Functional: PBE
Structure: optimized geometry

POSCAR file:
```
Zn2Cd8Pb
1.0
5.4747 -1.5804 -0.9784
-1.0734 6.8673 -3.1250
-1.1159 0.1187 7.5377
Cd Pb Zn
8 1 2
Direct
0.1064 0.0843 0.3201
0.8936 0.9157 0.6799
0.3141 0.5821 0.5821
0.1064 0.3201 0.0843
0.5000 0.2397 0.7603
0.6859 0.4179 0.4179
0.8936 0.6799 0.9157
0.5000 0.7603 0.2397
0.5000 0.0000 0.0000
0.0000 0.6911 0.3089
0.0000 0.3089 0.6911
```

Output
Fermi-level density of states: 3.8 states/eV/cell
Calculated formation energy: 99 meV/atom
Space group: No. 12


Entry 2:
Compound: Zn4CdPb
Source: Alexandria
Functional: PBE
Structure: optimized geometry

POSCAR file:
```
Zn4CdPb
1.0
5.4879 0.0000 0.0000
2.7439 4.7527 0.0000
2.7439 1.5842 4.4808
Pb Zn Cd
1 4 1
Direct
0.0000 0.0000 0.0000
0.1264 0.6245 0.6245
0.6245 0.6245 0.6245
0.6245 0.6245 0.1264
0.6245 0.1264 0.6245
0.2500 0.2500 0.2500
```

Output
Fermi-level density of states: 2.2 states/eV/cell
Calculated formation energy: 99 meV/atom
Space group: No. 216


Entry 3:
Compound: ZnCd2Pb
Source: Alexandria
Functional: PBE
Structure: optimized geometry

POSCAR file:
```
ZnCd2Pb
1.0
5.6315 -0.0417 0.0000
2.0051 5.2627 0.0000
-3.8183 -2.6105 3.2128
Zn Pb Cd
1 1 2
Direct
0.7500 0.2500 0.5000
0.2500 0.7500 0.5000
0.5000 0.5000 0.0000
0.0000 0.0000 0.0000
```

Output
Fermi-level density of states: 2.1 states/eV/cell
Energy above the most stable polymorph in this dataset: 0.048 eV per atom
Calculated formation energy: 122 meV/atom
Space group: No. 139


Entry 4:
Compound: Zn2CdPb
Source: Alexandria
Functional: PBE
Structure: optimized geometry

POSCAR file:
```
Zn2CdPb
1.0
-2.1149 4.9361 -2.0424
-2.4135 -0.3618 -5.2014
-0.3330 -2.2163 5.2903
Zn Cd Pb
2 1 1
Direct
0.9748 0.9748 0.0000
0.7793 0.2793 0.5000
0.5139 0.5139 0.0000
0.2320 0.7320 0.5000
```

Output
Fermi-level density of states: 1.5 states/eV/cell
Energy above the most stable polymorph in this dataset: 0.051 eV per atom
Calculated formation energy: 160 meV/atom
Space group: No. 44


Entry 5:
Compound: Zn3Cd9Pb
Source: Alexandria
Functional: PBE
Structure: optimized geometry

POSCAR file:
```
Zn3Cd9Pb
1.0
5.3587 0.0087 2.1752
2.5887 6.9862 1.0508
0.0405 0.0044 7.5887
Cd Zn Pb
9 3 1
Direct
0.2934 0.2153 0.2219
0.9934 0.6594 0.3515
0.5153 0.2153 0.7781
0.0066 0.3406 0.6484
0.0000 0.5000 0.0000
0.3450 0.6594 0.6484
0.6550 0.3406 0.3515
0.4847 0.7847 0.2219
0.7066 0.7847 0.7781
0.0000 0.0000 0.5000
0.5000 0.5000 0.0000
0.5000 0.0000 0.5000
0.0000 0.0000 0.0000
```

Output
Fermi-level density of states: 3.4 states/eV/cell
Calculated formation energy: 52 meV/atom
Space group: No. 12


Entry 6:
Compound: ZnCd2Pb
Source: Alexandria
Functional: PBE
Structure: optimized geometry

POSCAR file:
```
ZnCd2Pb
1.0
3.5218 0.0000 0.0000
0.0000 3.5218 0.0000
0.0000 0.0000 7.6327
Zn Cd Pb
1 2 1
Direct
0.5000 0.5000 0.7500
0.0000 0.0000 0.5462
0.0000 0.0000 0.9538
0.5000 0.5000 0.2500
```

Output
Fermi-level density of states: 1.4 states/eV/cell
Energy above the most stable polymorph in this dataset: 0.021 eV per atom
Calculated formation energy: 96 meV/atom
Space group: No. 123